Computed, not measured: an optimized crystal structure of Pr12Dy7Tm at the PBE level of DFT.

Results
- total DFT energy (no corrections) (hartree per atom) = -0.165
- total magnetization (μB/f.u.) = 0.00
- ΔH_f (0 K) (meV per atom) = 225

Lattice parameters (Å, degrees): 12.3677 12.3677 15.7757 90.00 90.00 120.00
Space group R-3 (No. 148, hexagonal axes)
One atom of each set of equivalent atoms:
Pr1 0.0214 0.4466 0.2206 [18 per cell]
Pr2 0.0613 0.5921 0.5795 [18 per cell]
Dy1 0.0000 0.0000 0.0000 [3 per cell]
Dy2 0.0539 0.1862 0.3011 [18 per cell]
Tm1 0.0000 0.0000 0.5000 [3 per cell]